1.
Material: SrLi2Rh
Method: DFT, PBEsol
State: relaxed

a = 4.182 Å, b = 4.182 Å, c = 4.544 Å
α = 90.00°, β = 90.00°, γ = 90.00°
Positions (direct):
Sr 0.000 0.000 0.000
Li 0.000 0.500 0.500
Li 0.500 0.000 0.500
Rh 0.500 0.500 0.000

Computed properties:
formation energy from the elements	0.10	eV per atom
energy above the most stable polymorph in this dataset	128	meV/atom

2.
Material: SrLiRh2
Method: DFT, PBEsol
State: relaxed

a = 2.944 Å, b = 4.381 Å, c = 5.501 Å
α = 90.00°, β = 100.07°, γ = 90.00°
Positions (direct):
Sr 0.000 0.000 0.000
Li 0.585 0.500 0.276
Rh 0.208 0.500 0.640
Rh 0.636 0.000 0.514

Computed properties:
formation energy from the elements	0.13	eV per atom

Question: Which of these has the lowest formation energy from the elements?
Answer: SrLi2Rh

Question: Look up the formation energy from the elements of the first one.
Answer: 0.10 eV per atom